The following is a DFT calculation (PBE) of TaNO2 after structural relaxation.

Summary:
Its formation energy (no corrections) is -0.557 eV/atom.

```
data_TaNO2
_chemical_formula_sum 'Ta4 N4 O8'
_cell_length_a 5.8845
_cell_length_b 5.8845
_cell_length_c 9.4004
_cell_angle_alpha 90.00
_cell_angle_beta 90.00
_cell_angle_gamma 90.00
_symmetry_space_group_name_H-M 'I 41/a m d'
_symmetry_Int_Tables_number 141
loop_
_symmetry_equiv_pos_as_xyz
'x,y,z'
'-x,-y,-z'
'-y+1/4,x+3/4,z+1/4'
'y+1/4,-x+3/4,-z+1/4'
'-x+1/2,-y,z+1/2'
'x+1/2,y,-z+1/2'
'y+1/4,-x+1/4,z+3/4'
'-y+1/4,x+1/4,-z+3/4'
'x,-y,-z'
'-x,y,z'
'-y+1/4,-x+1/4,-z+3/4'
'y+1/4,x+1/4,z+3/4'
'-x+1/2,y,-z+1/2'
'x+1/2,-y,z+1/2'
'y+1/4,x+3/4,-z+1/4'
'-y+1/4,-x+3/4,z+1/4'
'x+1/2,y+1/2,z+1/2'
'-x+1/2,-y+1/2,-z+1/2'
'-y+3/4,x+1/4,z+3/4'
'y+3/4,-x+1/4,-z+3/4'
'-x,-y+1/2,z'
'x,y+1/2,-z'
'y+3/4,-x+3/4,z+1/4'
'-y+3/4,x+3/4,-z+1/4'
'x+1/2,-y+1/2,-z+1/2'
'-x+1/2,y+1/2,z+1/2'
'-y+3/4,-x+3/4,-z+1/4'
'y+3/4,x+3/4,z+1/4'
'-x,y+1/2,-z'
'x,-y+1/2,z'
'y+3/4,x+1/4,-z+3/4'
'-y+3/4,-x+1/4,z+3/4'
loop_
_atom_site_label
_atom_site_fract_x
_atom_site_fract_y
_atom_site_fract_z
Ta1 0.0000 0.2500 0.3750
N1 0.0000 0.2500 0.8750
O1 0.0000 0.0000 0.5000
```

***

The following is a DFT calculation (PBE) of NaSnPd2Br after structural relaxation.

Summary:
Its formation energy (no corrections) is -0.080 eV/atom.

```
data_NaSnPd2Br
_chemical_formula_sum 'Na1 Sn1 Pd2 Br1'
_cell_length_a 5.0051
_cell_length_b 5.0051
_cell_length_c 6.0341
_cell_angle_alpha 90.00
_cell_angle_beta 90.00
_cell_angle_gamma 90.00
_symmetry_space_group_name_H-M 'P 4/m m m'
_symmetry_Int_Tables_number 123
_symmetry_space_group_name_Hall '-P 4 2'
loop_
_atom_site_label
_atom_site_fract_x
_atom_site_fract_y
_atom_site_fract_z
Na1 0.0000 0.0000 0.0000
Sn1 0.5000 0.5000 0.5000
Pd1 0.0000 0.5000 0.5000
Br1 0.5000 0.5000 0.0000
```

***

The following is a DFT calculation (PBE) of TePt4Au after structural relaxation.

Summary:
Its formation energy (no corrections) is 0.188 eV/atom.

```
data_TePt4Au
_chemical_formula_sum 'Te4 Pt16 Au4'
_cell_length_a 7.5913
_cell_length_b 7.5913
_cell_length_c 7.5913
_cell_angle_alpha 90.00
_cell_angle_beta 90.00
_cell_angle_gamma 90.00
_symmetry_space_group_name_H-M 'F -4 3 m'
_symmetry_Int_Tables_number 216
_symmetry_space_group_name_Hall 'F -4 2 3'
loop_
_atom_site_label
_atom_site_fract_x
_atom_site_fract_y
_atom_site_fract_z
Te1 0.0000 0.0000 0.0000
Pt1 0.1249 0.1249 0.3751
Au1 0.2500 0.2500 0.7500
```

***

The following is a DFT calculation (PBE) of LaYSe2Br after structural relaxation.

Summary:
Its formation energy (no corrections) is -0.928 eV/atom. The calculation puts the energy relative to the lowest polymorph listed for this composition at 194 kJ/mol of formula units.

```
data_LaYSe2Br
_chemical_formula_sum 'La1 Y1 Se2 Br1'
_cell_length_a 5.7218
_cell_length_b 5.7218
_cell_length_c 5.5977
_cell_angle_alpha 90.00
_cell_angle_beta 90.00
_cell_angle_gamma 90.00
_symmetry_space_group_name_H-M 'P 4/m m m'
_symmetry_Int_Tables_number 123
_symmetry_space_group_name_Hall '-P 4 2'
loop_
_atom_site_label
_atom_site_fract_x
_atom_site_fract_y
_atom_site_fract_z
La1 0.0000 0.0000 0.0000
Y1 0.5000 0.5000 0.5000
Se1 0.0000 0.5000 0.0000
Br1 0.0000 0.0000 0.5000
```

***

The following is a DFT calculation (PBE) of CuAsPb after structural relaxation.

Summary:
The calculation puts the energy relative to the lowest polymorph listed for this composition at 26 kJ/mol of formula units. The calculation puts the formation energy at 0.07 eV per atom.

```
data_CuAsPb
_chemical_formula_sum 'Cu4 As4 Pb4'
_cell_length_a 4.0073
_cell_length_b 4.0073
_cell_length_c 16.0454
_cell_angle_alpha 90.00
_cell_angle_beta 90.00
_cell_angle_gamma 90.00
_symmetry_space_group_name_H-M 'I 4/m m m'
_symmetry_Int_Tables_number 139
_symmetry_space_group_name_Hall '-I 4 2'
loop_
_atom_site_label
_atom_site_fract_x
_atom_site_fract_y
_atom_site_fract_z
Cu1 0.0000 0.5000 0.0000
As1 0.0000 0.0000 0.0974
Pb1 0.0000 0.0000 0.3180
```

***

The following is a DFT calculation (PBE) of Sm2PuGe after structural relaxation.

Summary:
The calculation puts the energy relative to the lowest polymorph listed for this composition at 0 kJ/mol of formula units. The calculation puts the formation energy at -0.26 eV per atom.

```
data_Sm2PuGe
_chemical_formula_sum 'Sm2 Pu1 Ge1'
_cell_length_a 4.8003
_cell_length_b 4.8003
_cell_length_c 4.4987
_cell_angle_alpha 90.00
_cell_angle_beta 90.00
_cell_angle_gamma 90.00
_symmetry_space_group_name_H-M 'P 4/m m m'
_symmetry_Int_Tables_number 123
_symmetry_space_group_name_Hall '-P 4 2'
loop_
_atom_site_label
_atom_site_fract_x
_atom_site_fract_y
_atom_site_fract_z
Sm1 0.0000 0.5000 0.0000
Pu1 0.0000 0.0000 0.5000
Ge1 0.5000 0.5000 0.5000
```

***

no.,total energy (eV per atom)
1,-8.08
2,-3.56
3,-4.91
4,-4.93
5,-4.08
6,-7.36